No. 1
## HfMgCuSi2 (GGA-PBE)

Data for HfMgCuSi2 after structural relaxation.

Output
* DFT total energy: -4.1281 eV per atom
* total moment: 0.00 μB per formula unit
* energy relative to the elements, uncorrected: 1.17 eV/atom

Lattice parameters (Å, degrees): 5.016 5.547 5.016 90.00 90.00 90.00
Sites, in units of the cell vectors:
Mg1 0.000 0.500 0.000
Hf1 0.000 0.000 0.000
Si1 0.500 0.000 0.000
Cu1 0.500 0.500 0.500
Si2 0.000 0.000 0.500

***

No. 2
## NiHg2Mo (GGA-PBE)

Data for NiHg2Mo after structural relaxation.

Output
* energy of formation from the pure elements: 2.449 eV/f.u.
* DFT total energy: -3.6918 eV per atom
* total moment: 0.84 μB per formula unit

Lattice parameters (Å, degrees): 5.615 5.615 5.615 150.03 127.34 61.78
Site moments in Bohr magnetons follow the coordinates.
Sites, in units of the cell vectors:
Ni1 0.250 0.750 0.500  0.16
Hg1 0.479 0.479 0.000  0.00
Mo1 0.750 0.250 0.500  0.61
Hg2 0.021 0.021 0.000  0.00

***

No. 3
## Ho2GeRu2 (GGA-PBE)

Data for Ho2GeRu2 after structural relaxation.

Output
* energy of formation from the pure elements: -2.809 eV/f.u.
* DFT total energy: -7.0266 eV per atom
* total moment: 0.00 μB per formula unit

Lattice parameters (Å, degrees): 5.453 5.668 7.664 102.44 90.00 118.75
Sites, in units of the cell vectors:
Ho1 0.508 0.714 0.856
Ru1 0.986 0.277 0.012
Ru2 0.709 0.723 0.488
Ru3 0.291 0.277 0.512
Ho2 0.795 0.286 0.644
Ho3 0.205 0.714 0.356
Ho4 0.492 0.286 0.144
Ge1 0.883 0.000 0.250
Ge2 0.117 0.000 0.750
Ru4 0.014 0.723 0.988

***

No. 4
## La2Pr4NdTm (GGA-PBE)

Data for La2Pr4NdTm after structural relaxation.

Output
* energy of formation from the pure elements: 0.144 eV/f.u.
* DFT total energy: -4.7585 eV per atom
* total moment: 0.00 μB per formula unit

Lattice parameters (Å, degrees): 5.218 5.197 11.712 63.60 90.00 90.00
Sites, in units of the cell vectors:
Pr1 0.000 0.754 0.747
Pr2 0.500 0.252 0.748
Nd1 0.500 0.500 0.000
Pr3 0.500 0.748 0.252
La1 0.000 0.000 0.000
Tm1 0.000 0.500 0.500
Pr4 0.000 0.246 0.253
La2 0.500 0.000 0.500

***

No. 5
## As2PbAu (GGA-PBE)

Data for As2PbAu after structural relaxation.

Output
* energy of formation from the pure elements: 1.169 eV/f.u.
* DFT total energy: -3.7790 eV per atom
* total moment: 0.00 μB per formula unit

Lattice parameters (Å, degrees): 6.045 6.045 6.045 139.90 139.90 58.01
Sites, in units of the cell vectors:
As1 0.000 0.000 0.000
Pb1 0.750 0.250 0.500
Au1 0.250 0.750 0.500
As2 0.500 0.500 0.000

***

No. 6
## BaZn4Ge4 (GGA-PBE)

Data for BaZn4Ge4 after structural relaxation.

Output
* energy of formation from the pure elements: -0.807 eV/f.u.
* DFT total energy: -2.9217 eV per atom
* total moment: 0.00 μB per formula unit

Lattice parameters (Å, degrees): 6.340 6.340 9.544 90.00 90.00 90.00
Sites, in units of the cell vectors:
Ge1 0.000 0.711 0.623
Ge2 0.500 0.211 0.877
Ge3 0.000 0.289 0.623
Zn1 0.000 0.291 0.338
Ge4 0.211 0.500 0.123
Zn2 0.291 0.000 0.662
Zn3 0.209 0.500 0.838
Zn4 0.000 0.709 0.338
Ba1 0.500 0.500 0.500
Zn5 0.500 0.209 0.162
Ba2 0.000 0.000 0.000
Ge5 0.711 0.000 0.377
Zn6 0.791 0.500 0.838
Zn7 0.709 0.000 0.662
Ge6 0.289 0.000 0.377
Ge7 0.789 0.500 0.123
Ge8 0.500 0.789 0.877
Zn8 0.500 0.791 0.162

***

No. 7
## Pm2TlSi2 (GGA-PBE)

Data for Pm2TlSi2 after structural relaxation.

Output
* DFT total energy: -5.1875 eV per atom
* total moment: 0.00 μB per formula unit
* energy relative to the elements, uncorrected: -0.64 eV/atom

Lattice parameters (Å, degrees): 4.192 3.865 7.735 104.47 90.00 90.00
Sites, in units of the cell vectors:
Si1 0.000 0.796 0.592
Pm1 0.500 0.638 0.276
Tl1 0.000 0.000 0.000
Si2 0.000 0.204 0.408
Pm2 0.500 0.362 0.724

***

No. 8
## Ba6Ag2HRh (GGA-PBE)

Data for Ba6Ag2HRh after structural relaxation.

Output
* DFT total energy: -3.0374 eV per atom
* total moment: 0.00 μB per formula unit

Lattice parameters (Å, degrees): 7.757 8.671 11.477 90.00 90.23 90.00
Sites, in units of the cell vectors:
Ba1 0.622 0.029 0.252
Ag1 0.452 0.395 0.249
H1 0.500 0.000 0.500
Ba2 0.122 0.471 0.752
Ba3 0.677 0.312 0.944
H2 0.000 0.500 0.000
Ba4 0.676 0.318 0.559
Ba5 0.824 0.818 0.941
Ba6 0.176 0.182 0.059
Rh1 0.500 0.000 0.000
Ag2 0.048 0.895 0.251
Ba7 0.323 0.688 0.056
Ba8 0.378 0.971 0.748
Ag3 0.548 0.605 0.751
Ba9 0.878 0.529 0.248
Ba10 0.324 0.682 0.441
Rh2 0.000 0.500 0.500
Ag4 0.952 0.105 0.749
Ba11 0.177 0.188 0.444
Ba12 0.823 0.812 0.556

***

No. 9
## Ba12Ca5Pr3 (GGA-PBE)

Data for Ba12Ca5Pr3 after structural relaxation.

Output
* energy of formation from the pure elements: 13.896 eV/f.u.
* DFT total energy: -1.6761 eV per atom
* total moment: 1.34 μB per formula unit

Lattice parameters (Å, degrees): 19.193 19.193 19.193 109.47 109.47 109.47
Site moments in Bohr magnetons follow the coordinates.
Sites, in units of the cell vectors:
Ca1 0.125 0.375 0.250  -0.02
Ba1 0.366 0.928 0.767  0.01
Ba2 0.366 0.438 0.099  0.01
Ca2 0.500 0.000 0.000  -0.07
Ca3 0.500 0.000 0.500  -0.07
Ca4 0.000 0.500 0.500  -0.07
Ba3 0.062 0.901 0.134  0.01
Ba4 0.928 0.366 0.267  0.01
Ba5 0.062 0.161 0.428  0.01
Ba6 0.428 0.661 0.062  0.01
Pr1 0.750 0.375 0.125  0.31
Ba7 0.661 0.233 0.599  0.01
Ca5 0.500 0.500 0.500  -0.07
Ba8 0.938 0.099 0.866  0.01
Ca6 0.875 0.250 0.625  -0.02
Pr2 0.625 0.250 0.375  0.31
Ba9 0.839 0.938 0.072  0.01
Ba10 0.661 0.428 0.562  0.01
Ba11 0.928 0.562 0.161  0.01
Ba12 0.733 0.599 0.161  0.01
Ba13 0.938 0.839 0.572  0.01
Pr3 0.375 0.750 0.625  0.31
Ba14 0.428 0.767 0.866  0.01
Ca7 0.375 0.250 0.125  -0.02
Ba15 0.599 0.866 0.438  0.01
Ba16 0.438 0.072 0.339  0.01
Ba17 0.339 0.572 0.438  0.01
Ca8 0.000 0.000 0.000  -0.07
Ca9 0.750 0.625 0.375  -0.02
Ba18 0.099 0.938 0.366  0.01
Pr4 0.750 0.875 0.625  0.31
Ca10 0.625 0.875 0.250  -0.02
Ba19 0.401 0.267 0.339  0.01
Ba20 0.901 0.062 0.634  0.01
Ba21 0.233 0.572 0.634  0.01
Ca11 0.750 0.125 0.875  -0.02
Ba22 0.401 0.134 0.562  0.01
Ba23 0.733 0.134 0.072  0.01
Ca12 0.125 0.750 0.375  -0.02
Pr5 0.125 0.250 0.875  0.31
Ba24 0.339 0.767 0.401  0.01
Ca13 0.000 0.500 0.000  -0.07
Ca14 0.625 0.750 0.875  -0.02
Ba25 0.562 0.928 0.661  0.01
Ba26 0.072 0.634 0.733  0.01
Ba27 0.572 0.233 0.134  0.01
Ca15 0.250 0.375 0.625  -0.02
Ba28 0.161 0.099 0.733  0.01
Ca16 0.375 0.125 0.750  -0.02
Pr6 0.125 0.875 0.750  0.31
Ba29 0.562 0.634 0.401  0.01
Ba30 0.267 0.866 0.928  0.01
Ba31 0.134 0.733 0.572  0.01
Ba32 0.134 0.401 0.062  0.01
Ba33 0.767 0.428 0.366  0.01
Ba34 0.233 0.661 0.099  0.01
Ba35 0.866 0.599 0.938  0.01
Ba36 0.901 0.839 0.767  0.01
Pr7 0.250 0.625 0.875  0.31
Ba37 0.634 0.072 0.233  0.01
Ba38 0.634 0.562 0.901  0.01
Ca17 0.875 0.625 0.750  -0.02
Ca18 0.500 0.500 0.000  -0.07
Ba39 0.767 0.339 0.901  0.01
Ca19 0.000 0.000 0.500  -0.07
Pr8 0.875 0.750 0.125  0.31
Ba40 0.099 0.161 0.233  0.01
Ba41 0.572 0.339 0.938  0.01
Pr9 0.625 0.375 0.750  0.31
Ba42 0.599 0.733 0.661  0.01
Pr10 0.250 0.125 0.375  0.31
Pr11 0.875 0.125 0.250  0.31
Pr12 0.375 0.625 0.250  0.31
Ba43 0.267 0.401 0.839  0.01
Ba44 0.866 0.267 0.428  0.01
Ba45 0.161 0.062 0.928  0.01
Ba46 0.438 0.366 0.599  0.01
Ca20 0.250 0.875 0.125  -0.02
Ba47 0.839 0.901 0.267  0.01
Ba48 0.072 0.438 0.839  0.01

***

No. 10
## Na2NdGaBr6 (GGA-PBE)

Data for Na2NdGaBr6 after structural relaxation.

Output
* DFT total energy: -3.5252 eV per atom
* total moment: 0.00 μB per formula unit
* energy relative to the elements, uncorrected: -1.48 eV/atom

Lattice parameters (Å, degrees): 7.578 7.578 8.151 62.30 62.29 59.99
Sites, in units of the cell vectors:
Br1 0.231 0.933 0.245
Na1 0.010 0.010 0.970
Ga1 0.813 0.813 0.560
Br2 0.592 0.231 0.245
Br3 0.398 0.719 0.758
Br4 0.719 0.125 0.758
Na2 0.518 0.518 0.446
Br5 0.933 0.592 0.245
Br6 0.125 0.398 0.758
Nd1 0.323 0.323 0.031

***

No. 11
## PrCo2BC (GGA-PBE)

Data for PrCo2BC after structural relaxation.

Output
* energy of formation from the pure elements: -0.416 eV/f.u.
* DFT total energy: -7.0618 eV per atom
* total moment: 0.00 μB per formula unit

Lattice parameters (Å, degrees): 3.738 5.389 6.648 90.00 90.00 110.29
Sites, in units of the cell vectors:
Co1 0.172 0.343 0.939
C1 0.000 0.000 0.000
Co2 0.172 0.343 0.561
B1 0.271 0.542 0.250
Pr1 0.555 0.109 0.250
C2 0.000 0.000 0.500
Co3 0.828 0.657 0.439
Co4 0.828 0.657 0.061
B2 0.729 0.458 0.750
Pr2 0.445 0.891 0.750

***

No. 12
## Sr8TeAs5 (GGA-PBE)

Data for Sr8TeAs5 after structural relaxation.

Output
* DFT total energy: -4.0542 eV per atom
* total moment: 0.00 μB per formula unit
* energy relative to the elements, uncorrected: -1.21 eV/atom

Lattice parameters (Å, degrees): 8.305 8.305 8.305 109.31 109.80 109.31
Sites, in units of the cell vectors:
Sr1 0.751 0.246 0.370
Sr2 0.630 0.381 0.877
Sr3 0.637 0.900 0.881
As1 0.874 0.879 0.251
Sr4 0.981 0.100 0.737
As2 0.005 0.377 0.126
As3 0.749 0.623 0.628
As4 0.372 0.121 0.995
Sr5 0.263 0.244 0.363
Sr6 0.119 0.756 0.019
Te1 0.250 0.500 0.750
Sr7 0.496 0.619 0.249
As5 0.500 0.000 0.500
Sr8 0.123 0.754 0.504